Computed, not measured: a crystal of TbS relaxed with PBEsol at the SCAN level of DFT.

Results
E: -1.11892 hartree per atom
N(E_F): 0.74 states/eV/f.u.
V: 164 Å³/cell

Cell lengths 5.474, 5.474, 5.474 Å; angles 90.00, 90.00, 90.00 degrees
Space group Fm-3m (No. 225)
One atom of each set of equivalent atoms:
1 Tb 0.000 0.000 0.000
2 S 0.000 0.000 0.500